[1]
# HgOsPt | the Alexandria database | GGA-PBE | relaxed
data_HgOsPt
_symmetry_space_group_name_H-M 'P 1'
_symmetry_Int_Tables_number 1
_cell_length_a 2.878
_cell_length_b 2.878
_cell_length_c 7.024
_cell_angle_alpha 90.00
_cell_angle_beta 90.00
_cell_angle_gamma 120.00
loop_
_symmetry_equiv_pos_as_xyz
'x,y,z'
loop_
_atom_site_label
_atom_site_type_symbol
_atom_site_fract_x
_atom_site_fract_y
_atom_site_fract_z
Hg1 Hg 0.000 0.000 0.001
Os1 Os 0.667 0.333 0.351
Pt1 Pt 0.333 0.667 0.649
# - VASP energy (eV/cell) = -16.19
# - offset from the most stable computed form (meV per atom) = 0



[2]
# HgOsPt2 | the Alexandria database | GGA-PBE | relaxed
data_HgOsPt2
_symmetry_space_group_name_H-M 'P 1'
_symmetry_Int_Tables_number 1
_cell_length_a 2.762
_cell_length_b 4.916
_cell_length_c 4.921
_cell_angle_alpha 90.00
_cell_angle_beta 90.00
_cell_angle_gamma 90.00
loop_
_symmetry_equiv_pos_as_xyz
'x,y,z'
loop_
_atom_site_label
_atom_site_type_symbol
_atom_site_fract_x
_atom_site_fract_y
_atom_site_fract_z
Hg1 Hg 0.500 0.000 0.500
Os1 Os 0.000 0.500 0.500
Pt1 Pt 0.000 0.000 0.000
Pt2 Pt 0.500 0.500 0.000
# - VASP energy (eV/cell) = -21.43



[3]
# HgOsPt2 | the Alexandria database | GGA-PBE | relaxed
data_HgOsPt2
_symmetry_space_group_name_H-M 'P 1'
_symmetry_Int_Tables_number 1
_cell_length_a 9.525
_cell_length_b 9.525
_cell_length_c 9.525
_cell_angle_alpha 17.19
_cell_angle_beta 17.19
_cell_angle_gamma 17.19
loop_
_symmetry_equiv_pos_as_xyz
'x,y,z'
loop_
_atom_site_label
_atom_site_type_symbol
_atom_site_fract_x
_atom_site_fract_y
_atom_site_fract_z
Hg1 Hg 0.250 0.250 0.250
Os1 Os 0.750 0.750 0.750
Pt1 Pt 0.006 0.006 0.006
Pt2 Pt 0.494 0.494 0.494
# - VASP energy (eV/cell) = -22.82



[4]
# HgOsPt2 | the Alexandria database | GGA-PBE | relaxed
data_HgOsPt2
_symmetry_space_group_name_H-M 'P 1'
_symmetry_Int_Tables_number 1
_cell_length_a 4.904
_cell_length_b 4.904
_cell_length_c 4.904
_cell_angle_alpha 131.03
_cell_angle_beta 131.03
_cell_angle_gamma 71.76
loop_
_symmetry_equiv_pos_as_xyz
'x,y,z'
loop_
_atom_site_label
_atom_site_type_symbol
_atom_site_fract_x
_atom_site_fract_y
_atom_site_fract_z
Hg1 Hg 0.250 0.750 0.500
Os1 Os 0.750 0.250 0.500
Pt1 Pt 0.000 0.000 0.000
Pt2 Pt 0.500 0.500 0.000
# - VASP energy (eV/cell) = -21.74